#A
The following is a DFT calculation (PBE) of a relaxed structure of Li2Ti3NbO8.

```
Li2Ti3NbO8
1.0
5.966 0.000 0.000
-2.983 5.167 0.000
0.000 0.000 9.827
Li Ti Nb O
4 6 2 16
Direct
0.000 0.000 0.000
0.000 0.000 0.500
0.333 0.667 0.408
0.667 0.333 0.908
0.170 0.340 0.723
0.170 0.830 0.723
0.340 0.170 0.223
0.660 0.830 0.723
0.830 0.170 0.223
0.830 0.660 0.223
0.333 0.667 0.993
0.667 0.333 0.493
0.000 0.000 0.317
0.000 0.000 0.817
0.033 0.517 0.844
0.164 0.328 0.103
0.164 0.836 0.103
0.328 0.164 0.603
0.333 0.667 0.613
0.483 0.517 0.844
0.483 0.967 0.844
0.517 0.033 0.344
0.517 0.483 0.344
0.667 0.333 0.113
0.672 0.836 0.103
0.836 0.164 0.603
0.836 0.672 0.603
0.967 0.483 0.344
```

Computed properties:
Theoretical density   4.148 g/cm3

***

#B
The following is a DFT calculation (PBE) of a relaxed structure of Li2Ti3NbO8.

```
Li2Ti3NbO8
1.0
8.556 0.000 0.000
0.000 8.556 0.000
0.000 0.000 8.556
Li Ti Nb O
8 12 4 32
Direct
0.003 0.497 0.503
0.247 0.747 0.753
0.253 0.253 0.253
0.497 0.503 0.003
0.503 0.003 0.497
0.747 0.753 0.247
0.753 0.247 0.747
0.997 0.997 0.997
0.124 0.126 0.625
0.125 0.376 0.874
0.126 0.625 0.124
0.374 0.375 0.624
0.375 0.624 0.374
0.376 0.874 0.125
0.624 0.374 0.375
0.625 0.124 0.126
0.626 0.875 0.876
0.874 0.125 0.376
0.875 0.876 0.626
0.876 0.626 0.875
0.125 0.875 0.375
0.375 0.125 0.875
0.625 0.625 0.625
0.875 0.375 0.125
0.110 0.119 0.388
0.111 0.611 0.889
0.112 0.890 0.619
0.119 0.388 0.110
0.131 0.140 0.862
0.138 0.631 0.360
0.139 0.361 0.639
0.140 0.862 0.131
0.360 0.138 0.631
0.361 0.639 0.139
0.362 0.369 0.860
0.369 0.860 0.362
0.381 0.612 0.610
0.388 0.110 0.119
0.389 0.389 0.389
0.390 0.881 0.888
0.610 0.381 0.612
0.611 0.889 0.111
0.612 0.610 0.381
0.619 0.112 0.890
0.631 0.360 0.138
0.638 0.869 0.640
0.639 0.139 0.361
0.640 0.638 0.869
0.860 0.362 0.369
0.861 0.861 0.861
0.862 0.131 0.140
0.869 0.640 0.638
0.881 0.888 0.390
0.888 0.390 0.881
0.889 0.111 0.611
0.890 0.619 0.112
```

Computed properties:
Theoretical density   4.012 g/cm3

***

Energy relative to the most stable one, in meV per atom: #A 24; #B 0